# 1
VASP calculation (PBEsol) on a relaxed structure of ZrTa2Be.

Output
* mass density: 11.54 Mg/m³
* volume: 16.62 A^3/atom
* magnetic moment: 0.0 μB/cell
* formation energy: 0.046 eV/atom
* crystal system: tetragonal
* symmetry: P4mm (99)

Unit cell a=3.286 b=3.286 c=6.159 alpha=90.00 beta=90.00 gamma=90.00
Atoms (fractional coordinates):
Zr 0.000 0.000 0.000
Ta 0.000 0.000 0.467
Ta 0.500 0.500 0.713
Be 0.500 0.500 0.266

---

# 2
VASP calculation (PBEsol) on a relaxed structure of ZrTa3Be.

Output
* mass density: 9.68 Mg/m³
* volume: 22.07 A^3/atom
* magnetic moment: 0.0 μB/cell
* formation energy: 2.278 eV/atom
* crystal system: cubic
* symmetry: Pm-3m (221)

Unit cell a=4.797 b=4.797 c=4.797 alpha=90.00 beta=90.00 gamma=90.00
Atoms (fractional coordinates):
Zr 0.000 0.000 0.000
Ta 0.000 0.000 0.500
Ta 0.000 0.500 0.000
Ta 0.500 0.000 0.000
Be 0.500 0.500 0.500

---

# 3
VASP calculation (PBEsol) on a relaxed structure of ZrTa2Be.

Output
* mass density: 11.49 Mg/m³
* volume: 16.70 A^3/atom
* magnetic moment: 0.0 μB/cell
* formation energy: 0.147 eV/atom
* crystal system: orthorhombic
* symmetry: Pmmm (47)

Unit cell a=3.635 b=4.228 c=4.346 alpha=90.00 beta=90.00 gamma=90.00
Atoms (fractional coordinates):
Zr 0.000 0.000 0.000
Ta 0.000 0.500 0.500
Ta 0.500 0.000 0.500
Be 0.500 0.500 0.000

---

# 4
VASP calculation (PBEsol) on a relaxed structure of Zr2TaBe.

Output
* mass density: 8.74 Mg/m³
* volume: 17.68 A^3/atom
* magnetic moment: 0.0 μB/cell
* formation energy: 0.057 eV/atom
* crystal system: orthorhombic
* symmetry: Pmmm (47)

Unit cell a=3.053 b=3.578 c=6.475 alpha=90.00 beta=90.00 gamma=90.00
Atoms (fractional coordinates):
Zr 0.000 0.000 0.231
Zr 0.000 0.000 0.769
Ta 0.500 0.500 0.500
Be 0.500 0.500 0.000